1.
VASP calculation (PBE) on Rb2Pu2AlS6 after structural relaxation.

Properties
Crystal system   monoclinic
Formation energy (no corrections)   -14.88 eV per formula unit
Total magnetization   9.00 μB per formula unit

Unit cell a=6.805 b=11.687 c=8.163 alpha=90.00 beta=106.48 gamma=90.00
Space group C2/m (No. 12)
One atom of each set of equivalent atoms:
Rb 0.000 0.170 0.000 [4 per cell]
Pu 0.000 0.333 0.500 [4 per cell]
Al 0.000 0.000 0.500 [2 per cell]
S 0.217 0.155 0.679 [8 per cell]
S 0.242 0.000 0.325 [4 per cell]

=====

2.
VASP calculation (PBE) on Be2CuBr after structural relaxation.

Properties
Crystal system   monoclinic
Formation energy (no corrections)   0.79 eV per formula unit
Total magnetization   0.00 μB per formula unit

Unit cell a=3.239 b=3.191 c=7.477 alpha=90.00 beta=93.61 gamma=90.00
Space group Pm (No. 6)
One atom of each set of equivalent atoms:
Be 0.000 0.000 0.000 [1 per cell]
Be 0.034 0.500 0.236 [1 per cell]
Cu 0.501 0.500 0.007 [1 per cell]
Br 0.062 0.000 0.429 [1 per cell]

=====

3.
VASP calculation (PBE) on Li2InGaSe4 after structural relaxation.

Properties
Crystal system   orthorhombic
Formation energy (no corrections)   -6.05 eV per formula unit
Total magnetization   0.00 μB per formula unit

Unit cell a=7.704 b=7.872 c=11.017 alpha=90.00 beta=90.00 gamma=90.00
Space group Imma (No. 74)
One atom of each set of equivalent atoms:
Li 0.000 0.000 0.000 [4 per cell]
Li 0.250 0.250 0.250 [4 per cell]
In 0.000 0.000 0.500 [4 per cell]
Ga 0.250 0.250 0.750 [4 per cell]
Se 0.000 0.015 0.751 [8 per cell]
Se 0.248 0.250 0.991 [8 per cell]

=====

4.
VASP calculation (PBE) on Ba2NaSmHg6 after structural relaxation.

Properties
Crystal system   cubic
Calculated formation energy   -176 meV/atom
Total magnetization   0.00 μB per formula unit

Unit cell a=11.376 b=11.376 c=11.376 alpha=90.00 beta=90.00 gamma=90.00
Space group Fm-3m (No. 225)
One atom of each set of equivalent atoms:
Ba 0.250 0.250 0.250 [8 per cell]
Na 0.000 0.000 0.000 [4 per cell]
Sm 0.000 0.000 0.500 [4 per cell]
Hg 0.000 0.000 0.244 [24 per cell]

=====

5.
VASP calculation (PBE) on LaNpS3 after structural relaxation.

Properties
Crystal system   orthorhombic
Formation energy (no corrections)   -8.98 eV per formula unit
Total magnetization   3.94 μB per formula unit

Unit cell a=7.429 b=4.061 c=15.509 alpha=90.00 beta=90.00 gamma=90.00
Space group Pnma (No. 62)
One atom of each set of equivalent atoms:
La 0.133 0.250 0.203 [4 per cell]
Np 0.235 0.750 0.460 [4 per cell]
S 0.014 0.250 0.399 [4 per cell]
S 0.129 0.750 0.063 [4 per cell]
S 0.156 0.250 0.785 [4 per cell]

=====

6.
VASP calculation (PBE) on VAsP after structural relaxation.

Properties
Crystal system   triclinic
Calculated formation energy   -189 meV/atom
Total magnetization   0.00 μB per formula unit

Unit cell a=2.700 b=3.149 c=5.980 alpha=100.03 beta=90.84 gamma=110.47
Space group P1 (No. 1)
One atom of each set of equivalent atoms:
V 0.000 0.000 0.000 [1 per cell]
As 0.608 0.255 0.684 [1 per cell]
P 0.368 0.709 0.275 [1 per cell]

=====

7.
VASP calculation (PBE) on Tb3Pm5Tm3 after structural relaxation.

Properties
Crystal system   hexagonal
Calculated formation energy   790 meV/atom
Total magnetization   0.01 μB per formula unit

Unit cell a=9.7272 b=9.7272 c=5.4905 alpha=90.00 beta=90.00 gamma=120.00
Space group P-62m (No. 189)
One atom of each set of equivalent atoms:
Tb 0.0000 0.5504 0.0000 [3 per cell]
Pm 0.0000 0.7380 0.5000 [3 per cell]
Pm 0.3333 0.6667 0.5000 [2 per cell]
Tm 0.0000 0.3701 0.5000 [3 per cell]

=====

8.
VASP calculation (PBE) on LaSiPO2 after structural relaxation.

Properties
Crystal system   tetragonal
Formation energy (no corrections)   -8.10 eV per formula unit
Total magnetization   0.00 μB per formula unit

Unit cell a=3.948 b=3.948 c=4.532 alpha=90.00 beta=90.00 gamma=90.00
Space group P4/mmm (No. 123)
One atom of each set of equivalent atoms:
La 0.000 0.000 0.000 [1 per cell]
Si 0.500 0.500 0.500 [1 per cell]
P 0.500 0.500 0.000 [1 per cell]
O 0.000 0.500 0.500 [2 per cell]

=====

9.
VASP calculation (PBE) on AcEuPb2 after structural relaxation.

Properties
Crystal system   trigonal
Calculated formation energy   -351 meV/atom
Total magnetization   7.03 μB per formula unit

Unit cell a=4.0341 b=4.0341 c=30.9022 alpha=90.00 beta=90.00 gamma=120.00
Space group R-3m (No. 166, hexagonal axes)
One atom of each set of equivalent atoms:
Ac 0.0000 0.0000 0.0000 [3 per cell]
Eu 0.0000 0.0000 0.5000 [3 per cell]
Pb 0.0000 0.0000 0.2470 [6 per cell]

=====

10.
VASP calculation (PBE) on SrAsOs2 after structural relaxation.

Properties
Crystal system   monoclinic
Calculated formation energy   491 meV/atom
Total magnetization   0.00 μB per formula unit

Unit cell a=10.907 b=2.991 c=5.796 alpha=90.00 beta=117.46 gamma=90.00
Space group C2/m (No. 12)
One atom of each set of equivalent atoms:
Sr 0.000 0.000 0.000 [2 per cell]
As 0.000 0.500 0.500 [2 per cell]
Os 0.204 0.000 0.621 [4 per cell]

=====

11.
VASP calculation (PBE) on RbCeUSe4 after structural relaxation.

Properties
Crystal system   orthorhombic
Formation energy (no corrections)   -9.76 eV per formula unit
Total magnetization   3.00 μB per formula unit

Unit cell a=8.801 b=9.113 c=12.685 alpha=90.00 beta=90.00 gamma=90.00
Space group Imma (No. 74)
One atom of each set of equivalent atoms:
Rb 0.000 0.250 0.130 [4 per cell]
Ce 0.000 0.000 0.500 [4 per cell]
U 0.250 0.250 0.750 [4 per cell]
Se 0.000 0.047 0.733 [8 per cell]
Se 0.214 0.250 0.526 [8 per cell]

=====

12.
VASP calculation (PBE) on SbMoSe2 after structural relaxation.

Properties
Crystal system   tetragonal
Formation energy (no corrections)   -0.45 eV per formula unit
Total magnetization   0.00 μB per formula unit

Unit cell a=3.071 b=3.071 c=10.149 alpha=90.00 beta=90.00 gamma=90.00
Space group P4/mmm (No. 123)
One atom of each set of equivalent atoms:
Sb 0.000 0.000 0.000 [1 per cell]
Mo 0.000 0.000 0.500 [1 per cell]
Se 0.500 0.500 0.346 [2 per cell]

=====

What is the formula in the tenth record? SrAsOs2